Record 1
MgTaSe | GGA-PBE | relaxed

Results
For the polymorph energy (0 for the lowest one), the calculation gives 0.698 eV per atom. The space-group type is F-43m, No. 216.

a b c (Å): 4.407 4.407 4.407
angles (deg): 60.00 60.00 60.00
Fractional positions:
Mg: 0.000 0.000 0.000
Ta: 0.500 0.500 0.500
Se: 0.250 0.250 0.250

***

Record 2
Mg3TaSe | GGA-PBE | relaxed

Results
For the polymorph energy (0 for the lowest one), the calculation gives 0.000 eV per atom. The space-group type is Pm-3m, No. 221.

a b c (Å): 4.961 4.961 4.961
angles (deg): 90.00 90.00 90.00
Fractional positions:
Mg: 0.000 0.000 0.500
Mg: 0.000 0.500 0.000
Mg: 0.500 0.000 0.000
Ta: 0.500 0.500 0.500
Se: 0.000 0.000 0.000

***

Record 3
MgTaSe | GGA-PBE | relaxed

Results
For the polymorph energy (0 for the lowest one), the calculation gives 0.000 eV per atom. The space-group type is P3m1, No. 156.

a b c (Å): 3.277 3.277 6.435
angles (deg): 90.00 90.00 120.00
Fractional positions:
Mg: 0.000 0.000 0.000
Ta: 0.333 0.667 0.639
Se: 0.667 0.333 0.365

***

Record 4
MgTa4Se | GGA-PBE | relaxed

Results
The space-group type is F-43m, No. 216.

a b c (Å): 5.568 5.568 5.568
angles (deg): 60.00 60.00 60.00
Fractional positions:
Mg: 0.000 0.000 0.000
Ta: 0.373 0.373 0.373
Ta: 0.373 0.373 0.882
Ta: 0.373 0.882 0.373
Ta: 0.882 0.373 0.373
Se: 0.750 0.750 0.750

***

Record 5
MgTaSe4 | GGA-PBE | relaxed

Results
The space-group type is F-43m, No. 216.

a b c (Å): 5.640 5.640 5.640
angles (deg): 60.00 60.00 60.00
Fractional positions:
Mg: 0.000 0.000 0.000
Ta: 0.250 0.250 0.250
Se: 0.127 0.624 0.624
Se: 0.624 0.127 0.624
Se: 0.624 0.624 0.127
Se: 0.624 0.624 0.624

***

Record 6
Mg4TaSe | GGA-PBE | relaxed

Results
The space-group type is F-43m, No. 216.

a b c (Å): 5.624 5.624 5.624
angles (deg): 60.00 60.00 60.00
Fractional positions:
Mg: 0.376 0.376 0.376
Mg: 0.376 0.376 0.872
Mg: 0.376 0.872 0.376
Mg: 0.872 0.376 0.376
Ta: 0.750 0.750 0.750
Se: 0.000 0.000 0.000

***

Record 7
MgTaSe | GGA-PBE | relaxed

Results
For the polymorph energy (0 for the lowest one), the calculation gives 0.321 eV per atom. The space-group type is P-6m2, No. 187.

a b c (Å): 4.451 4.451 3.398
angles (deg): 90.00 90.00 120.00
Fractional positions:
Mg: 0.000 0.000 0.000
Ta: 0.667 0.333 0.500
Se: 0.333 0.667 0.500

***

Record 8
MgTaSe3 | GGA-PBE | relaxed

Results
For the polymorph energy (0 for the lowest one), the calculation gives 0.894 eV per atom. The space-group type is Pm-3m, No. 221.

a b c (Å): 4.877 4.877 4.877
angles (deg): 90.00 90.00 90.00
Fractional positions:
Mg: 0.000 0.000 0.000
Ta: 0.500 0.500 0.500
Se: 0.000 0.000 0.500
Se: 0.000 0.500 0.000
Se: 0.500 0.000 0.000

***

Total moment
In order: 0.77, 2.99, 0.00, 0.00, 2.09, 2.58, 0.00, 1.38
Unit: μB/f.u.
Formation energy without anion corrections
In order: 0.426, 0.696, -0.272, 0.552, 0.821, 0.462, 0.049, 0.612
Unit: eV per atom